Here is a relaxed structure of Mg2Te2AuF2 from the Open Quantum Materials Database. Energies are from PBE.

Cell: 3.654 3.654 9.891 Å, 90.00 90.00 90.00°
Space group P-4m2 (No. 115)
Asymmetric unit:
Mg 0.000 0.500 0.115 [2 per cell]
Te 0.000 0.500 0.708 [2 per cell]
Au 0.000 0.000 0.500 [1 per cell]
F 0.000 0.000 0.000 [1 per cell]
F 0.500 0.500 0.000 [1 per cell]

Energy: -3.88 eV/atom